[1]
Crystalline PRuSe2 at its relaxed geometry, computed with PBE.

Computed properties:
M_tot (μB/f.u.): 0.186
E (eV per atom): -5.21

Cell lengths 3.269, 3.269, 7.201 Å; angles 90.00, 90.00, 90.00 degrees
Each line ends with the local moment (μB).
Fractional coordinates of all 4 atoms:
Se1 0.000 0.000 0.909  0.00
Se2 0.500 0.500 0.341  0.01
Ru1 0.500 0.500 0.692  0.17
P1 0.000 0.000 0.558  0.00



[2]
Crystalline RbTlInSb2 at its relaxed geometry, computed with PBE.

Computed properties:
M_tot (μB/f.u.): 0.000
E (eV per atom): -3.06

Cell lengths 5.192, 5.192, 7.699 Å; angles 109.70, 109.70, 90.00 degrees
Fractional coordinates of all 5 atoms:
Tl1 0.250 0.750 0.500
Sb1 0.623 0.623 0.247
Sb2 0.377 0.377 0.753
In1 0.750 0.250 0.500
Rb1 0.000 0.000 0.000